DFT (SCAN) results for a crystal of NbCr2Mo relaxed with PBEsol.

Cell lengths 4.2758, 4.2758, 4.2758 Å; angles 60.00, 60.00, 60.00 degrees
Element x y z (fractional)
Nb 0.0000 0.0000 0.0000
Cr 0.2500 0.2500 0.2500
Cr 0.7500 0.7500 0.7500
Mo 0.5000 0.5000 0.5000

## Properties
- space group = No. 225
- ΔH_f (0 K) (eV/atom) = 0.03
- Fermi-level density of states (states/eV/cell) = 1.92
- energy (eV per atom) = -26.162